(1)
4
Lattice="1.9113 1.1035 7.9224 -1.9113 1.1035 7.9224 0.0000 -2.2070 7.9224" Properties=species:S:1:pos:R:3 comment="MgPtBr2 | the Alexandria database | PBE | optimized geometry" dos_at_fermi_per_ev_cell=3.37 e_form_raw_ev_per_atom=-0.291 magnetic_moment_mub_per_atom=0.00 sg=R-3m pbc="T T T"
Mg 0.0000 0.0000 0.0000
Pt 0.0000 0.0000 11.8836
Br 0.0000 0.0000 9.4628
Br 0.0000 0.0000 14.3043


(2)
9
Lattice="7.1974 0.0000 0.0000 -3.5987 6.2332 0.0000 0.0000 0.0000 5.5401" Properties=species:S:1:pos:R:3 comment="Hg2C | the Alexandria database | PBE | optimized geometry" dos_at_fermi_per_ev_cell=3.99 magnetic_moment_mub_per_atom=0.14 formation_enthalpy_0k_kj_per_mol_atoms=138 sg=P-62m pbc="T T T"
Hg -1.8045 3.1254 0.0000
Hg -2.4909 4.3144 2.7700
Hg 1.1078 1.9188 2.7700
Hg 1.7942 3.1077 0.0000
Hg 3.6089 0.0000 0.0000
Hg 4.9818 0.0000 2.7700
C 0.0000 0.0000 2.7700
C 0.0000 4.1554 0.0000
C 3.5987 2.0777 0.0000